! Tb2Dy6ErTm3 (PBE-GGA, relaxed); values from VASP
&SYSTEM
  ibrav = 0, nat = 12, ntyp = 4
/
ATOMIC_SPECIES
Dy 162.50 Dy.upf
Tm 168.93 Tm.upf
Tb 158.93 Tb.upf
Er 167.26 Er.upf
CELL_PARAMETERS angstrom
-0.1385 -6.0358 0.8426
2.9052 2.3325 -4.8249
8.7687 1.8620 7.4584
ATOMIC_POSITIONS angstrom
Dy 2.3937 -1.8543 1.8210
Dy 8.1280 -2.7740 3.5426
Dy 3.4073 0.9327 -0.0665
Dy 9.1417 0.0130 1.6551
Dy 4.2865 -2.3139 -1.1146
Dy 7.2488 0.4726 4.5907
Tm 6.7824 1.8691 -0.1513
Tm 4.7530 -3.7104 3.6275
Tm 5.7677 -0.9207 1.7381
Tb 0.8762 -3.2458 -1.0469
Tb 1.8904 -0.4575 -2.9354
Er 0.0000 0.0000 0.0000
! SG: C2/m (12)
! raw total energy: -54.62 eV/f.u.
! ΔE_f: 0.0193 eV/atom
! DOS(E_F): 15.92 states/eV/cell
! M_tot: 0.0 μB/f.u.
! V: 30.8 A^3/atom